No. 1
Here is an optimized crystal structure of TcNi2Rh from Alexandria. Energies are from PBE-GGA.

abc: 4.5370 4.5370 4.5370
angles: 131.99 131.99 70.25
Last column: nearest neighbours and their distance in Å.
Positions (direct):
Tc1 0.0000 0.0000 0.0000  4 Rh 2.61, 8 Ni 2.62
Ni1 0.2500 0.7500 0.5000  4 Ni 2.61, 4 Tc 2.62, 4 Rh 2.62
Ni2 0.7500 0.2500 0.5000  4 Ni 2.61, 4 Tc 2.62, 4 Rh 2.62
Rh1 0.5000 0.5000 0.0000  4 Tc 2.61, 8 Ni 2.62

Output
- Raw total energy: -7.286 eV/atom
- Formation energy: 34 meV per atom
- Crystal system: tetragonal

---

No. 2
Here is an optimized crystal structure of TcNi5Rh4 from Alexandria. Energies are from PBE-GGA.

abc: 6.9770 6.9770 5.1798
angles: 102.01 102.01 31.05
Last column: nearest neighbours and their distance in Å.
Positions (direct):
Tc1 0.0000 0.0000 0.0000  6 Ni 2.59-2.61, 6 Rh 2.62-2.63
Ni1 0.0000 0.0000 0.5000  2 Tc 2.59, 4 Rh 2.60, 6 Ni 2.60-2.64
Ni2 0.2014 0.2014 0.6025  7 Rh 2.59-2.63, 5 Ni 2.63-2.67
Ni3 0.4024 0.4024 0.1970  6 Rh 2.56-2.66, 4 Ni 2.60-2.67, 2 Tc 2.61
Ni4 0.5976 0.5976 0.8030  6 Rh 2.56-2.66, 4 Ni 2.60-2.67, 2 Tc 2.61
Ni5 0.7986 0.7986 0.3975  7 Rh 2.59-2.63, 5 Ni 2.63-2.67
Rh1 0.2002 0.2002 0.1016  7 Ni 2.59-2.66, 1 Tc 2.63, 4 Rh 2.65-2.68
Rh2 0.4019 0.4019 0.6914  8 Ni 2.56-2.63, 2 Tc 2.62, 2 Rh 2.68
Rh3 0.5981 0.5981 0.3086  8 Ni 2.56-2.63, 2 Tc 2.62, 2 Rh 2.68
Rh4 0.7998 0.7998 0.8984  7 Ni 2.59-2.66, 1 Tc 2.63, 4 Rh 2.65-2.68

Output
- Raw total energy: -6.854 eV/atom
- Formation energy: 13 meV per atom
- Crystal system: monoclinic

---

No. 3
Here is an optimized crystal structure of TcNi12Rh6 from Alexandria. Energies are from PBE-GGA.

abc: 6.2548 6.2548 6.2548
angles: 92.44 92.44 92.44
Last column: nearest neighbours and their distance in Å.
Positions (direct):
Tc1 0.0000 0.0000 0.0000  6 Ni 2.47, 6 Rh 2.58
Ni1 0.0566 0.1449 0.3727  4 Ni 2.39-2.56, 1 Tc 2.47, 3 Rh 2.55-2.65
Ni2 0.1449 0.3727 0.0566  4 Ni 2.39-2.56, 1 Tc 2.47, 3 Rh 2.55-2.65
Ni3 0.2137 0.4650 0.5471  3 Ni 2.39-2.46, 4 Rh 2.49-2.67
Ni4 0.3727 0.0566 0.1449  4 Ni 2.39-2.56, 1 Tc 2.47, 3 Rh 2.55-2.65
Ni5 0.4529 0.7863 0.5350  3 Ni 2.39-2.46, 4 Rh 2.49-2.67
Ni6 0.4650 0.5471 0.2137  3 Ni 2.39-2.46, 4 Rh 2.49-2.67
Ni7 0.5350 0.4529 0.7863  3 Ni 2.39-2.46, 4 Rh 2.49-2.67
Ni8 0.5471 0.2137 0.4650  3 Ni 2.39-2.46, 4 Rh 2.49-2.67
Ni9 0.6273 0.9434 0.8551  4 Ni 2.39-2.56, 1 Tc 2.47, 3 Rh 2.55-2.65
Ni10 0.7863 0.5350 0.4529  3 Ni 2.39-2.46, 4 Rh 2.49-2.67
Ni11 0.8551 0.6273 0.9434  4 Ni 2.39-2.56, 1 Tc 2.47, 3 Rh 2.55-2.65
Ni12 0.9434 0.8551 0.6273  4 Ni 2.39-2.56, 1 Tc 2.47, 3 Rh 2.55-2.65
Rh1 0.1192 0.7366 0.2835  9 Ni 2.49-2.70, 1 Tc 2.58, 2 Rh 2.71
Rh2 0.2634 0.7165 0.8808  9 Ni 2.49-2.70, 1 Tc 2.58, 2 Rh 2.71
Rh3 0.2835 0.1192 0.7366  9 Ni 2.49-2.70, 1 Tc 2.58, 2 Rh 2.71
Rh4 0.7165 0.8808 0.2634  9 Ni 2.49-2.70, 1 Tc 2.58, 2 Rh 2.71
Rh5 0.7366 0.2835 0.1192  9 Ni 2.49-2.70, 1 Tc 2.58, 2 Rh 2.71
Rh6 0.8808 0.2634 0.7165  9 Ni 2.49-2.70, 1 Tc 2.58, 2 Rh 2.71

Output
- Raw total energy: -6.343 eV/atom
- Formation energy: 176 meV per atom
- Crystal system: trigonal